No. 1
The following is a DFT calculation (PBE) of crystalline UAlPb at its relaxed geometry.

It has space group F-43m (No. 216), with a = 7.1388 Å, b = 7.1388 Å, c = 7.1388 Å, α = 90.00°, β = 90.00° and γ = 90.00°. The distinct sites, in fractional coordinates, are U at (0.0000, 0.0000, 0.0000), Al at (0.2500, 0.2500, 0.7500) and Pb at (0.2500, 0.2500, 0.2500).

As for the total DFT energy (no corrections): -16.64 eV per formula unit. The energy above the most stable polymorph in this dataset comes out at 161 meV/atom. The total magnetization is 2.929 μB per formula unit.

---

No. 2
The following is a DFT calculation (PBE) of crystalline UAlPb at its relaxed geometry.

It has space group F-43m (No. 216), with a = 6.8674 Å, b = 6.8674 Å, c = 6.8674 Å, α = 90.00°, β = 90.00° and γ = 90.00°. The distinct sites, in fractional coordinates, are U at (0.0000, 0.0000, 0.0000), Al at (0.2500, 0.2500, 0.7500) and Pb at (0.0000, 0.0000, 0.5000).

As for the total DFT energy (no corrections): -17.12 eV per formula unit. The energy above the most stable polymorph in this dataset comes out at 0 meV/atom. The total magnetization is 3.318 μB per formula unit.

---

No. 3
The following is a DFT calculation (PBE) of crystalline Al2Pd at its relaxed geometry.

It has space group Fm-3m (No. 225), with a = 5.9286 Å, b = 5.9286 Å, c = 5.9286 Å, α = 90.00°, β = 90.00° and γ = 90.00°. The distinct sites, in fractional coordinates, are Al at (0.2500, 0.2500, 0.2500) and Pd at (0.0000, 0.0000, 0.0000).

As for the total DFT energy (no corrections): -14.52 eV per formula unit.

---

No. 4
The following is a DFT calculation (PBE) of crystalline Al2Pd at its relaxed geometry.

It has space group Fd-3m (No. 227, origin choice 2), with a = 7.1945 Å, b = 7.1945 Å, c = 7.1945 Å, α = 90.00°, β = 90.00° and γ = 90.00°. The distinct sites, in fractional coordinates, are Al at (0.0000, 0.0000, 0.0000) and Pd at (0.1250, 0.1250, 0.6250).

As for the total DFT energy (no corrections): -13.20 eV per formula unit.